<i>
DFT (PBE) results for crystalline Tm7Sn3C2 at its relaxed geometry.

Values from the calculation:
magnetization	0.000	μB per formula unit
space group	Cmmm

abc: 12.3895 12.3895 4.7252
angles: 90.00 90.00 157.58
With the nearest neighbours (Å) after each atom.
Positions (direct):
Tm  0.0000  0.0000  0.0000  2 C 2.42
Tm  0.0975  0.9025  0.5000  2 C 2.36
Tm  0.1988  0.8012  0.0000  1 C 2.41
Tm  0.3992  0.6008  0.0000  2 C 2.41
Tm  0.6008  0.3992  0.0000  2 C 2.41
Tm  0.8012  0.1988  0.0000  1 C 2.41
Tm  0.9025  0.0975  0.5000  2 C 2.36
Sn  0.3095  0.6905  0.5000  10 Tm 3.21-3.58
Sn  0.5000  0.5000  0.5000  12 Tm 3.37-3.40
Sn  0.6905  0.3095  0.5000  10 Tm 3.21-3.58
C  0.0997  0.9003  0.0000  6 Tm 2.36-2.42
C  0.9003  0.0997  0.0000  6 Tm 2.36-2.42

***

<ii>
DFT (PBE) results for crystalline Tm7Sn3C2 at its relaxed geometry.

Values from the calculation:
magnetization	0.000	μB per formula unit
space group	I4/mmm

abc: 13.0262 13.0262 13.0262
angles: 158.90 158.90 30.01
With the nearest neighbours (Å) after each atom.
Positions (direct):
Tm  0.0000  0.0000  0.0000  2 C 2.44
Tm  0.0955  0.5955  0.5000  2 C 2.38
Tm  0.1936  0.1936  0.0000  1 C 2.44
Tm  0.4045  0.9045  0.5000  2 C 2.38
Tm  0.5955  0.0955  0.5000  2 C 2.38
Tm  0.8064  0.8064  0.0000  1 C 2.44
Tm  0.9045  0.4045  0.5000  2 C 2.38
Sn  0.3185  0.3185  0.0000  9 Tm 3.14-3.39
Sn  0.5000  0.5000  0.0000  12 Tm 3.37-3.39
Sn  0.6815  0.6815  0.0000  9 Tm 3.14-3.39
C  0.0968  0.0968  0.0000  6 Tm 2.38-2.44
C  0.9032  0.9032  0.0000  6 Tm 2.38-2.44

***

It comes down to <ii>, which is 39 meV per atom more stable than the next structure.

***

<i>
DFT (PBE) results for crystalline V2SnC2 at its relaxed geometry.

Values from the calculation:
magnetization	0.000	μB per formula unit
space group	P4/mbm

abc: 6.2007 6.2007 2.8895
angles: 90.00 90.00 90.00
With the nearest neighbours (Å) after each atom.
Positions (direct):
V  0.1385  0.3615  0.0000  6 C 2.25-2.42, 1 V 2.43
V  0.3615  0.8615  0.0000  6 C 2.25-2.42, 1 V 2.43
V  0.6385  0.1385  0.0000  6 C 2.25-2.42, 1 V 2.43
V  0.8615  0.6385  0.0000  6 C 2.25-2.42, 1 V 2.43
Sn  0.0000  0.0000  0.5000  4 C 2.40
Sn  0.5000  0.5000  0.5000  4 C 2.40
C  0.1395  0.6395  0.5000  6 V 2.25-2.42, 2 Sn 2.40, 1 C 2.45
C  0.3605  0.1395  0.5000  6 V 2.25-2.42, 2 Sn 2.40, 1 C 2.45
C  0.6395  0.8605  0.5000  6 V 2.25-2.42, 2 Sn 2.40, 1 C 2.45
C  0.8605  0.3605  0.5000  6 V 2.25-2.42, 2 Sn 2.40, 1 C 2.45

***

<ii>
DFT (PBE) results for crystalline V2SnC2 at its relaxed geometry.

Values from the calculation:
magnetization	0.000	μB per formula unit
space group	I4/mmm

abc: 5.5196 5.5196 5.5196
angles: 138.85 138.85 59.60
With the nearest neighbours (Å) after each atom.
Positions (direct):
V  0.2500  0.7500  0.5000  4 C 2.00
V  0.7500  0.2500  0.5000  4 C 2.00
Sn  0.0000  0.0000  0.0000  2 C 2.89, 8 V 3.08
C  0.3014  0.3014  0.0000  4 V 2.00
C  0.6986  0.6986  0.0000  4 V 2.00

***

It comes down to <ii>, which is 435 meV per atom more stable than the next structure.

***

<i>
DFT (PBE) results for crystalline Sn2WC at its relaxed geometry.

Values from the calculation:
magnetization	0.000	μB per formula unit
space group	Fm-3m

abc: 4.6722 4.6722 4.6722
angles: 60.00 60.00 60.00
With the nearest neighbours (Å) after each atom.
Positions (direct):
Sn  0.2500  0.2500  0.2500  4 W 2.86, 4 C 2.86
Sn  0.7500  0.7500  0.7500  4 W 2.86, 4 C 2.86
W  0.0000  0.0000  0.0000  8 Sn 2.86
C  0.5000  0.5000  0.5000  8 Sn 2.86

***

<ii>
DFT (PBE) results for crystalline Sn2WC at its relaxed geometry.

Values from the calculation:
magnetization	0.339	μB per formula unit
space group	I-42d

abc: 5.7111 5.7111 5.7111
angles: 107.40 107.40 113.70
With the nearest neighbours (Å) after each atom.
Positions (direct):
Sn  0.0555  0.6250  0.9305  2 C 2.23
Sn  0.3750  0.3055  0.4305  2 C 2.23
Sn  0.6945  0.1250  0.0695  2 C 2.23
Sn  0.8750  0.9445  0.5695  2 C 2.23
W  0.2500  0.7500  0.5000  8 Sn 2.85-3.14, 2 C 3.12
W  0.5000  0.5000  0.0000  8 Sn 2.85-3.14, 2 C 3.12
C  0.0000  0.0000  0.0000  4 Sn 2.23
C  0.7500  0.2500  0.5000  4 Sn 2.23

***

It comes down to <ii>, which is 374 meV per atom more stable than the next structure.

***

<i>
DFT (PBE) results for crystalline YSn3C at its relaxed geometry.

Values from the calculation:
magnetization	0.000	μB per formula unit
space group	Pm-3m

abc: 4.8553 4.8553 4.8553
angles: 90.00 90.00 90.00
With the nearest neighbours (Å) after each atom.
Positions (direct):
Y  0.0000  0.0000  0.0000  12 Sn 3.43
Sn  0.0000  0.5000  0.5000  2 C 2.43
Sn  0.5000  0.0000  0.5000  2 C 2.43
Sn  0.5000  0.5000  0.0000  2 C 2.43
C  0.5000  0.5000  0.5000  6 Sn 2.43

***

<ii>
DFT (PBE) results for crystalline YSn3C at its relaxed geometry.

Values from the calculation:
magnetization	1.551	μB per formula unit
space group	Pm-3m

abc: 5.8453 5.8453 5.8453
angles: 90.00 90.00 90.00
With the nearest neighbours (Å) after each atom.
Positions (direct):
Y  0.0000  0.0000  0.0000  6 Sn 2.92
Sn  0.0000  0.0000  0.5000  2 Y 2.92
Sn  0.0000  0.5000  0.0000  2 Y 2.92
Sn  0.5000  0.0000  0.0000  2 Y 2.92
C  0.5000  0.5000  0.5000  12 Sn 4.13

***

It comes down to <i>, which is 1306 meV per atom more stable than the next structure.

***

<i>
DFT (PBE) results for crystalline YSnC3 at its relaxed geometry.

Values from the calculation:
magnetization	0.000	μB per formula unit
space group	Pm-3m

abc: 4.2599 4.2599 4.2599
angles: 90.00 90.00 90.00
With the nearest neighbours (Å) after each atom.
Positions (direct):
Y  0.0000  0.0000  0.0000  12 C 3.01
Sn  0.5000  0.5000  0.5000  6 C 2.13
C  0.0000  0.5000  0.5000  2 Sn 2.13
C  0.5000  0.0000  0.5000  2 Sn 2.13
C  0.5000  0.5000  0.0000  2 Sn 2.13

***

<ii>
DFT (PBE) results for crystalline YSnC3 at its relaxed geometry.

Values from the calculation:
magnetization	0.000	μB per formula unit
space group	Pm-3m

abc: 4.5334 4.5334 4.5334
angles: 90.00 90.00 90.00
With the nearest neighbours (Å) after each atom.
Positions (direct):
Y  0.0000  0.0000  0.0000  6 C 2.27
Sn  0.5000  0.5000  0.5000  12 C 3.21
C  0.0000  0.0000  0.5000  2 Y 2.27
C  0.0000  0.5000  0.0000  2 Y 2.27
C  0.5000  0.0000  0.0000  2 Y 2.27

***

It comes down to <i>, which is 525 meV per atom more stable than the next structure.

***

<i>
DFT (PBE) results for crystalline Y4Sn2C at its relaxed geometry.

Values from the calculation:
magnetization	0.000	μB per formula unit
space group	I4/mmm

abc: 8.6805 8.6805 8.6805
angles: 147.88 147.88 46.07
With the nearest neighbours (Å) after each atom.
Positions (direct):
Y  0.0000  0.5000  0.5000  2 C 2.40
Y  0.1597  0.1597  0.0000  1 C 2.55
Y  0.5000  0.0000  0.5000  2 C 2.40
Y  0.8403  0.8403  0.0000  1 C 2.55
Sn  0.3595  0.3595  0.0000  9 Y 3.19-3.41
Sn  0.6405  0.6405  0.0000  9 Y 3.19-3.41
C  0.0000  0.0000  0.0000  6 Y 2.40-2.55

***

<ii>
DFT (PBE) results for crystalline Y4Sn2C at its relaxed geometry.

Values from the calculation:
magnetization	0.000	μB per formula unit
space group	P2_1/m

abc: 6.4930 6.7585 9.2204
angles: 90.00 109.87 90.00
With the nearest neighbours (Å) after each atom.
Positions (direct):
Y  0.1748  0.2500  0.0618  1 C 2.25
Y  0.2425  0.0009  0.7305  1 C 2.23
Y  0.2425  0.4991  0.7305  1 C 2.23
Y  0.2801  0.7500  0.3489  1 C 2.25
Y  0.7199  0.2500  0.6511  1 C 2.25
Y  0.7575  0.5009  0.2695  1 C 2.23
Y  0.7575  0.9991  0.2695  1 C 2.23
Y  0.8252  0.7500  0.9382  1 C 2.25
Sn  0.2245  0.2500  0.4205  8 Y 3.20-3.49
Sn  0.3486  0.7500  0.0337  6 Y 3.09-3.27
Sn  0.6514  0.2500  0.9663  6 Y 3.09-3.27
Sn  0.7755  0.7500  0.5795  8 Y 3.20-3.49
C  0.0740  0.2500  0.8025  4 Y 2.23-2.25
C  0.9260  0.7500  0.1975  4 Y 2.23-2.25

***

It comes down to <i>, which is 174 meV per atom more stable than the next structure.

***

<i>
DFT (PBE) results for crystalline ZnSn2C2 at its relaxed geometry.

Values from the calculation:
magnetization	0.000	μB per formula unit
space group	I4/mmm

abc: 5.6716 5.6716 5.6716
angles: 136.31 136.31 63.51
With the nearest neighbours (Å) after each atom.
Positions (direct):
Zn  0.0000  0.0000  0.0000  8 C 3.20, 10 Sn 3.33-3.35
Sn  0.3476  0.3476  0.0000  4 C 2.31
Sn  0.6524  0.6524  0.0000  4 C 2.31
C  0.2500  0.7500  0.5000  4 Sn 2.31
C  0.7500  0.2500  0.5000  4 Sn 2.31

***

<ii>
DFT (PBE) results for crystalline ZnSn2C2 at its relaxed geometry.

Values from the calculation:
magnetization	0.000	μB per formula unit
space group	P4/mbm

abc: 7.7447 7.7447 3.4035
angles: 90.00 90.00 90.00
With the nearest neighbours (Å) after each atom.
Positions (direct):
Zn  0.0000  0.0000  0.0000  4 Sn 2.80
Zn  0.5000  0.5000  0.0000  4 Sn 2.80
Sn  0.1966  0.3034  0.0000  2 C 2.28
Sn  0.3034  0.8034  0.0000  2 C 2.28
Sn  0.6966  0.1966  0.0000  2 C 2.28
Sn  0.8034  0.6966  0.0000  2 C 2.28
C  0.0588  0.4412  0.5000  1 C 1.29
C  0.4412  0.9412  0.5000  1 C 1.29
C  0.5588  0.0588  0.5000  1 C 1.29
C  0.9412  0.5588  0.5000  1 C 1.29

***

It comes down to <ii>, which is 635 meV per atom more stable than the next structure.

***

<i>
DFT (PBE) results for crystalline ZnSnC3 at its relaxed geometry.

Values from the calculation:
magnetization	0.000	μB per formula unit
space group	Pm-3m

abc: 4.0505 4.0505 4.0505
angles: 90.00 90.00 90.00
With the nearest neighbours (Å) after each atom.
Positions (direct):
Zn  0.0000  0.0000  0.0000  6 C 2.03
Sn  0.5000  0.5000  0.5000  12 C 2.86
C  0.0000  0.0000  0.5000  2 Zn 2.03
C  0.0000  0.5000  0.0000  2 Zn 2.03
C  0.5000  0.0000  0.0000  2 Zn 2.03

***

<ii>
DFT (PBE) results for crystalline ZnSnC3 at its relaxed geometry.

Values from the calculation:
magnetization	0.000	μB per formula unit
space group	Pm-3m

abc: 4.3112 4.3112 4.3112
angles: 90.00 90.00 90.00
With the nearest neighbours (Å) after each atom.
Positions (direct):
Zn  0.0000  0.0000  0.0000  12 C 3.05
Sn  0.5000  0.5000  0.5000  6 C 2.16
C  0.0000  0.5000  0.5000  2 Sn 2.16
C  0.5000  0.0000  0.5000  2 Sn 2.16
C  0.5000  0.5000  0.0000  2 Sn 2.16

***

It comes down to <i>, which is 323 meV per atom more stable than the next structure.

***

<i>
DFT (PBE) results for crystalline ZnSn2C at its relaxed geometry.

Values from the calculation:
magnetization	0.000	μB per formula unit
space group	Fm-3m

abc: 4.7379 4.7379 4.7379
angles: 60.00 60.00 60.00
With the nearest neighbours (Å) after each atom.
Positions (direct):
Zn  0.0000  0.0000  0.0000  8 Sn 2.90
Sn  0.2500  0.2500  0.2500  4 Zn 2.90, 4 C 2.90
Sn  0.7500  0.7500  0.7500  4 C 2.90, 4 Zn 2.90
C  0.5000  0.5000  0.5000  8 Sn 2.90

***

<ii>
DFT (PBE) results for crystalline ZnSn2C at its relaxed geometry.

Values from the calculation:
magnetization	0.000	μB per formula unit
space group	I-42d

abc: 6.5702 6.5702 6.5702
angles: 126.56 126.56 78.98
With the nearest neighbours (Å) after each atom.
Positions (direct):
Zn  0.0000  0.0000  0.0000  4 Sn 2.69
Zn  0.7500  0.2500  0.5000  4 Sn 2.69
Sn  0.1885  0.6250  0.0635  2 C 2.24
Sn  0.3750  0.4385  0.5635  2 C 2.24
Sn  0.5615  0.1250  0.9365  2 C 2.24
Sn  0.8750  0.8115  0.4365  2 C 2.24
C  0.2500  0.7500  0.5000  4 Sn 2.24
C  0.5000  0.5000  0.0000  4 Sn 2.24

***

It comes down to <ii>, which is 552 meV per atom more stable than the next structure.

***

<i>
DFT (PBE) results for crystalline Zr4Sn2C at its relaxed geometry.

Values from the calculation:
magnetization	0.000	μB per formula unit
space group	P2_1/m

abc: 5.9004 6.2119 8.7069
angles: 90.00 109.17 90.00
With the nearest neighbours (Å) after each atom.
Positions (direct):
Zr  0.1929  0.2500  0.0423  1 C 2.10
Zr  0.2592  0.7500  0.3433  1 C 2.11
Zr  0.2657  0.5090  0.7008  1 C 2.11
Zr  0.2657  0.9910  0.7008  1 C 2.11
Zr  0.7343  0.0090  0.2992  1 C 2.11
Zr  0.7343  0.4910  0.2992  1 C 2.11
Zr  0.7408  0.2500  0.6567  1 C 2.11
Zr  0.8071  0.7500  0.9577  1 C 2.10
Sn  0.2455  0.2500  0.3956  8 Zr 2.99-3.22
Sn  0.3334  0.7500  0.0253  9 Zr 2.94-3.23, 1 C 3.15
Sn  0.6666  0.2500  0.9747  9 Zr 2.94-3.23, 1 C 3.15
Sn  0.7545  0.7500  0.6044  8 Zr 2.99-3.22
C  0.1106  0.2500  0.7887  4 Zr 2.10-2.11
C  0.8894  0.7500  0.2113  4 Zr 2.10-2.11

***

<ii>
DFT (PBE) results for crystalline Zr4Sn2C at its relaxed geometry.

Values from the calculation:
magnetization	0.000	μB per formula unit
space group	I4/mmm

abc: 8.2344 8.2344 8.2344
angles: 148.68 148.68 44.88
With the nearest neighbours (Å) after each atom.
Positions (direct):
Zr  0.0000  0.5000  0.5000  2 C 2.22
Zr  0.1557  0.1557  0.0000  1 C 2.37
Zr  0.5000  0.0000  0.5000  2 C 2.22
Zr  0.8443  0.8443  0.0000  1 C 2.37
Sn  0.3541  0.3541  0.0000  9 Zr 3.02-3.15
Sn  0.6459  0.6459  0.0000  9 Zr 3.02-3.15
C  0.0000  0.0000  0.0000  6 Zr 2.22-2.37

***

It comes down to <ii>, which is 176 meV per atom more stable than the next structure.

***

<i>
DFT (PBE) results for crystalline ZrSnC3 at its relaxed geometry.

Values from the calculation:
magnetization	0.000	μB per formula unit
space group	Pm-3m

abc: 4.1788 4.1788 4.1788
angles: 90.00 90.00 90.00
With the nearest neighbours (Å) after each atom.
Positions (direct):
Zr  0.0000  0.0000  0.0000  12 C 2.95
Sn  0.5000  0.5000  0.5000  6 C 2.09
C  0.0000  0.5000  0.5000  2 Sn 2.09
C  0.5000  0.0000  0.5000  2 Sn 2.09
C  0.5000  0.5000  0.0000  2 Sn 2.09

***

<ii>
DFT (PBE) results for crystalline ZrSnC3 at its relaxed geometry.

Values from the calculation:
magnetization	0.000	μB per formula unit
space group	Pm-3m

abc: 4.3828 4.3828 4.3828
angles: 90.00 90.00 90.00
With the nearest neighbours (Å) after each atom.
Positions (direct):
Zr  0.0000  0.0000  0.0000  6 C 2.19
Sn  0.5000  0.5000  0.5000  12 C 3.10
C  0.0000  0.0000  0.5000  2 Zr 2.19
C  0.0000  0.5000  0.0000  2 Zr 2.19
C  0.5000  0.0000  0.0000  2 Zr 2.19

***

It comes down to <ii>, which is 302 meV per atom more stable than the next structure.

***

<i>
DFT (PBE) results for crystalline ZrSn3C at its relaxed geometry.

Values from the calculation:
magnetization	0.000	μB per formula unit
space group	Pm-3m

abc: 4.7369 4.7369 4.7369
angles: 90.00 90.00 90.00
With the nearest neighbours (Å) after each atom.
Positions (direct):
Zr  0.0000  0.0000  0.0000  12 Sn 3.35
Sn  0.0000  0.5000  0.5000  2 C 2.37
Sn  0.5000  0.0000  0.5000  2 C 2.37
Sn  0.5000  0.5000  0.0000  2 C 2.37
C  0.5000  0.5000  0.5000  6 Sn 2.37

***

<ii>
DFT (PBE) results for crystalline ZrSn3C at its relaxed geometry.

Values from the calculation:
magnetization	1.741	μB per formula unit
space group	Pm-3m

abc: 5.5805 5.5805 5.5805
angles: 90.00 90.00 90.00
With the nearest neighbours (Å) after each atom.
Positions (direct):
Zr  0.0000  0.0000  0.0000  6 Sn 2.79
Sn  0.0000  0.0000  0.5000  2 Zr 2.79
Sn  0.0000  0.5000  0.0000  2 Zr 2.79
Sn  0.5000  0.0000  0.0000  2 Zr 2.79
C  0.5000  0.5000  0.5000  12 Sn 3.95

***

It comes down to <i>, which is 877 meV per atom more stable than the next structure.